[1]
SnOsRu | PBE | optimized geometry

Cell and atoms, written as POSCAR:
```
SnOsRu
1.0
9.282 0.000 0.000
0.000 2.971 0.000
-1.205 0.000 7.280
Sn Os Ru
4 4 4
Cartesian
0.000 0.000 0.000 Sn
0.966 1.486 5.466 Sn
4.641 1.486 0.000 Sn
5.607 0.000 5.466 Sn
1.554 0.000 3.102 Os
2.102 1.486 1.015 Os
6.195 1.486 3.102 Os
6.743 0.000 1.015 Os
3.520 1.486 4.479 Ru
4.075 0.000 2.364 Ru
8.161 0.000 4.479 Ru
8.716 1.486 2.364 Ru
```


[2]
Sn3OsRu | PBE | optimized geometry

Cell and atoms, written as POSCAR:
```
Sn3OsRu
1.0
5.098 0.000 0.000
0.000 5.098 0.000
0.000 0.000 5.098
Sn Os Ru
3 1 1
Cartesian
0.000 0.000 2.549 Sn
0.000 2.549 0.000 Sn
2.549 0.000 0.000 Sn
0.000 0.000 0.000 Os
2.549 2.549 2.549 Ru
```


[3]
SnOsRu | PBE | optimized geometry

Cell and atoms, written as POSCAR:
```
SnOsRu
1.0
9.927 0.000 0.000
0.000 2.965 0.000
-1.096 0.000 6.697
Sn Os Ru
4 4 4
Cartesian
0.000 0.000 0.000 Sn
1.826 1.482 2.415 Sn
4.964 1.482 0.000 Sn
6.790 0.000 2.415 Sn
0.027 0.000 4.187 Os
2.728 0.000 4.563 Os
4.991 1.482 4.187 Os
7.692 1.482 4.563 Os
1.207 1.482 6.319 Ru
4.081 0.000 2.105 Ru
6.171 0.000 6.319 Ru
9.045 1.482 2.105 Ru
```


What did we get for size of the total moment? Answer: 0.00, 0.37, 0.00 μB per atom, in the order shown.
What did we get for calculated formation energy? Answer: 5.0, 23.5, 5.8 kcal/mol of atoms, in the order shown.
What did we get for uncorrected energy? Answer: -0.5845, -0.4032, -0.5819 Ry/atom, in the order shown.